# 1
A plane-wave DFT calculation with PBE was carried out for La2CuAs3Pt4 after structural relaxation.

Cell: 4.436 4.436 9.996 Å, 90.00 90.00 90.00°
Atoms (fractional coordinates):
As  0.500  0.000  0.867
La  0.500  0.000  0.250
As  0.000  0.500  0.133
As  0.000  0.000  0.500
Pt  0.500  0.000  0.620
Cu  0.500  0.500  0.500
La  0.000  0.500  0.750
Pt  0.500  0.500  0.000
Pt  0.000  0.000  0.000
Pt  0.000  0.500  0.380

## Properties
- calculated density (kg/m3) = 11366
- formation energy from the elements (eV/f.u.) = -8.9
- crystal system = tetragonal
- calculated volume (Å³ per cell) = 196.71
- calculated total energy (eV/cell) = -60.92

=====

# 2
A plane-wave DFT calculation with PBE was carried out for PaSi2SnO8 after structural relaxation.

Cell: 5.513 5.513 7.201 Å, 90.00 90.00 120.00°
Atoms (fractional coordinates):
O  0.828  0.656  0.197
O  0.172  0.344  0.803
O  0.333  0.667  0.496
Si  0.667  0.333  0.277
Sn  0.000  0.000  0.500
O  0.344  0.172  0.197
O  0.172  0.828  0.803
O  0.667  0.333  0.504
O  0.656  0.828  0.803
Pa  0.000  0.000  0.000
O  0.828  0.172  0.197
Si  0.333  0.667  0.723

## Properties
- calculated density (kg/m3) = 4677
- crystal system = trigonal
- calculated volume (Å³ per cell) = 189.57
- calculated total energy (eV/cell) = -93.09
- raw formation energy (kJ/mol of formula units) = -2805

=====

# 3
A plane-wave DFT calculation with PBE was carried out for TbMg2Zn4 after structural relaxation.

Cell: 4.410 3.494 9.350 Å, 100.77 103.64 90.00°
Atoms (fractional coordinates):
Zn  0.645  0.645  0.290
Zn  0.072  0.572  0.143
Tb  0.500  0.000  0.000
Zn  0.355  0.355  0.710
Mg  0.198  0.198  0.395
Zn  0.928  0.428  0.857
Mg  0.802  0.802  0.605

## Properties
- calculated density (kg/m3) = 5670
- formation energy from the elements (eV/f.u.) = -1.5
- crystal system = orthorhombic
- calculated volume (Å³ per cell) = 137.39
- calculated total energy (eV/cell) = -14.39

=====

# 4
A plane-wave DFT calculation with PBE was carried out for Ta2BeTl after structural relaxation.

Cell: 7.553 7.553 7.553 Å, 25.73 25.73 25.73°
Atoms (fractional coordinates):
Ta  0.026  0.026  0.026
Ta  0.474  0.474  0.474
Tl  0.250  0.250  0.250
Be  0.750  0.750  0.750

## Properties
- calculated density (kg/m3) = 13361
- formation energy from the elements (eV/f.u.) = 1.6
- crystal system = trigonal
- calculated volume (Å³ per cell) = 71.50
- calculated total energy (eV/cell) = -28.15
- E above lowest polymorph (eV/f.u.) = 0.43